{"formula": "K2Sc2F7", "functional": "PBE", "state": "relaxed", "lattice_angstrom": [[-2.458, -4.798, 2.839], [2.693, 1.240, 4.428], [-3.779, 3.149, 2.050]], "species": ["K", "K", "Sc", "Sc", "F", "F", "F", "F", "F", "F", "F"], "fractional_positions": [[0.500, 0.244, 0.756], [0.500, 0.756, 0.244], [0.000, 0.275, 0.275], [0.000, 0.725, 0.725], [0.208, 0.000, 0.500], [0.792, 0.500, 0.000], [0.792, 0.000, 0.500], [0.208, 0.500, 0.000], [0.000, 0.000, 0.000], [0.800, 0.500, 0.500], [0.200, 0.500, 0.500]], "e_form_raw_ev_per_atom": -3.339, "crystal_system": "orthorhombic", "e_tot_ev_per_atom": -5.881}

***

{"formula": "AlAgPS4", "functional": "PBE", "state": "relaxed", "lattice_angstrom": [[5.712, 0.000, 0.000], [0.000, 5.712, 0.000], [-2.856, -2.856, 4.831]], "species": ["Al", "Ag", "P", "S", "S", "S", "S"], "fractional_positions": [[0.500, 0.500, 0.000], [0.000, 0.000, 0.000], [0.250, 0.750, 0.500], [0.144, 0.122, 0.724], [0.398, 0.856, 0.276], [0.579, 0.602, 0.724], [0.878, 0.421, 0.276]], "e_form_raw_ev_per_atom": -0.314, "crystal_system": "tetragonal", "e_tot_ev_per_atom": -4.387}

***

{"formula": "Ce2SmH6", "functional": "PBE", "state": "relaxed", "lattice_angstrom": [[3.638, 0.000, -1.176], [-0.802, 4.762, -2.483], [0.132, 0.381, 6.624]], "species": ["Ce", "Ce", "Sm", "H", "H", "H", "H", "H", "H"], "fractional_positions": [[0.334, 0.334, 0.668], [0.666, 0.666, 0.332], [0.000, 0.000, 0.000], [0.834, 0.082, 0.669], [0.166, 0.414, 0.331], [0.166, 0.918, 0.331], [0.500, 0.247, 0.000], [0.834, 0.586, 0.669], [0.500, 0.753, 0.000]], "crystal_system": "orthorhombic", "e_tot_ev_per_atom": -4.655}